The following is a GGA-PBE calculation of PmHo2Pu after structural relaxation, from Alexandria.

```
4
Lattice="3.4526 0.0000 0.0000 1.7263 2.9901 0.0000 1.7263 0.9967 12.2678" Properties=species:S:1:pos:R:3 pbc="T T T"
Pm 3.4526 1.9934 6.1339
Ho 1.7263 0.9967 9.0294
Ho 5.1789 2.9901 3.2385
Pu 0.0000 0.0000 0.0000
```

## Properties
Energy of formation = 0.27 eV/atom
Space-group type = R-3m